1.
DFT (PBE-GGA) results for a geometry-optimized CdPd3Pt3 structure.

Geometry as CIF:
```
data_CdPd3Pt3
_chemical_formula_sum 'Cd6 Pd18 Pt18'
_space_group_name_H-M_alt 'R -3'
_space_group_IT_number 148
_space_group_name_Hall '-R 3'
_cell_length_a 7.4870
_cell_length_b 7.4870
_cell_length_c 13.8468
_cell_angle_alpha 90.00
_cell_angle_beta 90.00
_cell_angle_gamma 120.00
loop_
_atom_site_label
_atom_site_fract_x
_atom_site_fract_y
_atom_site_fract_z
_atom_site_occupancy
Cd1 0.0000 0.0000 0.2479 1
Pd1 0.0457 0.2392 0.9189 1
Pt1 0.0458 0.2375 0.4187 1
```

Results
**Formation energy**: -141 meV/atom
**Distance to the lowest polymorph of the same formula**: 0 meV/atom
**DOS at the Fermi energy**: 1.56 states/eV/atom

---

2.
DFT (PBE-GGA) results for a geometry-optimized Cd2Pd2Pt5 structure.

Geometry as CIF:
```
data_Cd2Pd2Pt5
_chemical_formula_sum 'Cd4 Pd4 Pt10'
_space_group_name_H-M_alt 'C 1 2/m 1'
_space_group_IT_number 12
_space_group_name_Hall '-C 2y'
_cell_length_a 13.722
_cell_length_b 3.816
_cell_length_c 6.688
_cell_angle_alpha 90.00
_cell_angle_beta 112.24
_cell_angle_gamma 90.00
loop_
_atom_site_label
_atom_site_fract_x
_atom_site_fract_y
_atom_site_fract_z
_atom_site_occupancy
Cd1 0.138 0.000 0.486 1
Pd1 0.033 0.500 0.718 1
Pt1 0.000 0.000 0.000 1
Pt2 0.150 0.500 0.186 1
Pt3 0.179 0.000 0.919 1
```

Results
**Formation energy**: -63 meV/atom
**Distance to the lowest polymorph of the same formula**: 111 meV/atom
**DOS at the Fermi energy**: 1.12 states/eV/atom

---

3.
DFT (PBE-GGA) results for a geometry-optimized Cd4Pd2Pt3 structure.

Geometry as CIF:
```
data_Cd4Pd2Pt3
_chemical_formula_sum 'Cd4 Pd2 Pt3'
_space_group_name_H-M_alt 'P -1'
_space_group_IT_number 2
_space_group_name_Hall '-P 1'
_cell_length_a 4.194
_cell_length_b 4.909
_cell_length_c 8.649
_cell_angle_alpha 76.93
_cell_angle_beta 89.95
_cell_angle_gamma 64.75
loop_
_atom_site_label
_atom_site_fract_x
_atom_site_fract_y
_atom_site_fract_z
_atom_site_occupancy
Cd1 0.011 0.478 0.336 1
Cd2 0.337 0.827 0.112 1
Pd1 0.327 0.847 0.776 1
Pt1 0.000 0.500 0.000 1
Pt2 0.336 0.829 0.444 1
```

Results
**Formation energy**: -303 meV/atom
**DOS at the Fermi energy**: 0.35 states/eV/atom

---

4.
DFT (PBE-GGA) results for a geometry-optimized Cd8PdPt5 structure.

Geometry as CIF:
```
data_Cd8PdPt5
_chemical_formula_sum 'Cd16 Pd2 Pt10'
_space_group_name_H-M_alt 'I -4'
_space_group_IT_number 82
_space_group_name_Hall 'I -4'
_cell_length_a 8.084
_cell_length_b 8.084
_cell_length_c 8.246
_cell_angle_alpha 90.00
_cell_angle_beta 90.00
_cell_angle_gamma 90.00
loop_
_atom_site_label
_atom_site_fract_x
_atom_site_fract_y
_atom_site_fract_z
_atom_site_occupancy
Cd1 0.073 0.332 0.436 1
Cd2 0.089 0.174 0.776 1
Pd1 0.000 0.500 0.750 1
Pt1 0.000 0.000 0.500 1
Pt2 0.123 0.229 0.102 1
```

Results
**Formation energy**: -195 meV/atom
**DOS at the Fermi energy**: 0.33 states/eV/atom